# Ac6As2Se3Cl

A relaxed Ac6As2Se3Cl crystal (PBE, Alexandria).

Calculated values
- total moment (μB per cell) = 0.0
- raw formation energy (eV per atom) = -1.696

```
data_Ac6As2Se3Cl
_chemical_formula_sum 'Ac12 As4 Se6 Cl2'
_space_group_name_H-M_alt 'C 1 2/m 1'
_space_group_IT_number 12
_cell_length_a 19.516
_cell_length_b 4.487
_cell_length_c 8.956
_cell_angle_alpha 90.00
_cell_angle_beta 103.66
_cell_angle_gamma 90.00
loop_
_space_group_symop_operation_xyz
'x,y,z'
'-x,-y,-z'
'-x,y,-z'
'x,-y,z'
'x+1/2,y+1/2,z'
'-x+1/2,-y+1/2,-z'
'-x+1/2,y+1/2,-z'
'x+1/2,-y+1/2,z'
loop_
_atom_site_label
_atom_site_type_symbol
_atom_site_fract_x
_atom_site_fract_y
_atom_site_fract_z
Ac1 Ac 0.001 0.000 0.258
Ac2 Ac 0.169 0.500 0.089
Ac3 Ac 0.170 0.500 0.579
As1 As 0.164 0.000 0.329
Se1 Se 0.000 0.500 0.500
Se2 Se 0.167 0.000 0.834
Cl1 Cl 0.000 0.500 0.000
```



# MgAg2

A relaxed MgAg2 crystal (PBE, Alexandria).

Calculated values
- formation energy (kJ/mol of atoms) = -4
- total moment (μB per cell) = 0.0

```
data_MgAg2
_chemical_formula_sum 'Mg4 Ag8'
_space_group_name_H-M_alt 'I 41/a m d'
_space_group_IT_number 141
_cell_length_a 3.034
_cell_length_b 3.034
_cell_length_c 24.930
_cell_angle_alpha 90.00
_cell_angle_beta 90.00
_cell_angle_gamma 90.00
loop_
_space_group_symop_operation_xyz
'x,y,z'
'-x,-y,-z'
'-y+1/4,x+3/4,z+1/4'
'y+1/4,-x+3/4,-z+1/4'
'-x+1/2,-y,z+1/2'
'x+1/2,y,-z+1/2'
'y+1/4,-x+1/4,z+3/4'
'-y+1/4,x+1/4,-z+3/4'
'x,-y,-z'
'-x,y,z'
'-y+1/4,-x+1/4,-z+3/4'
'y+1/4,x+1/4,z+3/4'
'-x+1/2,y,-z+1/2'
'x+1/2,-y,z+1/2'
'y+1/4,x+3/4,-z+1/4'
'-y+1/4,-x+3/4,z+1/4'
'x+1/2,y+1/2,z+1/2'
'-x+1/2,-y+1/2,-z+1/2'
'-y+3/4,x+1/4,z+3/4'
'y+3/4,-x+1/4,-z+3/4'
'-x,-y+1/2,z'
'x,y+1/2,-z'
'y+3/4,-x+3/4,z+1/4'
'-y+3/4,x+3/4,-z+1/4'
'x+1/2,-y+1/2,-z+1/2'
'-x+1/2,y+1/2,z+1/2'
'-y+3/4,-x+3/4,-z+1/4'
'y+3/4,x+3/4,z+1/4'
'-x,y+1/2,-z'
'x,-y+1/2,z'
'y+3/4,x+1/4,-z+3/4'
'-y+3/4,-x+1/4,z+3/4'
loop_
_atom_site_label
_atom_site_type_symbol
_atom_site_fract_x
_atom_site_fract_y
_atom_site_fract_z
Mg1 Mg 0.000 0.250 0.375
Ag1 Ag 0.000 0.250 0.798
```